The following is a PBE-GGA calculation of a geometry-optimized La4Ho2Tm3 structure, from Alexandria.

Cell: 9.2609 9.2609 3.6588 Å, 90.46 90.46 77.92°
Element x y z (fractional)
1 La 0.1167 0.6241 0.7290
2 La 0.3759 0.8833 0.2710
3 La 0.6241 0.1167 0.7290
4 La 0.8833 0.3759 0.2710
5 Ho 0.2120 0.2120 0.7175
6 Ho 0.7880 0.7880 0.2825
7 Tm 0.0000 0.0000 0.0000
8 Tm 0.4070 0.4070 0.2385
9 Tm 0.5930 0.5930 0.7615

## Properties
As for the density of states at the Fermi level: 14.3 states/eV/f.u. Its volume is 34.092 A^3/atom. The calculation puts the final energy at -4.573 eV per atom. Its space group is C2/m (12). The formation energy from the elements is 0.124 eV per atom. Its crystal system is monoclinic. The calculation puts the energy above the lowest structure with this stoichiometry at 89 meV per atom.

The following is a PBE-GGA calculation of a geometry-optimized ThU3Tl3Te8 structure, from Alexandria.

Cell: 9.7811 9.7811 9.7811 Å, 53.55 53.55 53.55°
Element x y z (fractional)
1 Th 0.0000 0.0000 0.0000
2 U 0.0000 0.5000 0.5000
3 U 0.5000 0.0000 0.5000
4 U 0.5000 0.5000 0.0000
5 Tl 0.0000 0.0000 0.5000
6 Tl 0.0000 0.5000 0.0000
7 Tl 0.5000 0.0000 0.0000
8 Te 0.2421 0.2421 0.7348
9 Te 0.2421 0.7348 0.2421
10 Te 0.2611 0.2611 0.2611
11 Te 0.2652 0.7579 0.7579
12 Te 0.7348 0.2421 0.2421
13 Te 0.7389 0.7389 0.7389
14 Te 0.7579 0.2652 0.7579
15 Te 0.7579 0.7579 0.2652

## Properties
For the formation energy without anion corrections, the calculation gives -648 meV/atom. As for the density of states at the Fermi level: 20.8 states/eV/f.u. Its volume is 37.456 A^3/atom. The calculation puts the final energy at -5.549 eV per atom. Its space group is R-3m (166). Its crystal system is trigonal.